DFT (PBE) results for a relaxed KAgBr2F crystal.

The total energy comes out at -2.99 eV per atom. For the magnetic moment, the calculation gives 0.0 μB/cell. The raw formation energy is -1.16 eV per atom.

a b c (Å): 5.4405 5.4405 4.3961
angles (deg): 90.00 90.00 90.00
Space group P4/mmm (No. 123)
Asymmetric unit:
K  0.0000  0.0000  0.0000 (multiplicity 1)
Ag  0.5000  0.5000  0.5000 (multiplicity 1)
Br  0.0000  0.5000  0.5000 (multiplicity 2)
F  0.5000  0.5000  0.0000 (multiplicity 1)